# 1
## TiAlBi2 (PBE-GGA)

Data for a geometry-optimized TiAlBi2 structure.

```
TiAlBi2
1.0
-3.103 4.137 -4.015
0.427 -4.382 -4.846
-6.917 -2.606 -2.677
Bi Al Ti
4 2 2
Direct
0.375 0.375 0.750
0.625 0.125 0.250
0.125 0.625 0.250
0.875 0.875 0.750
0.250 0.750 0.500
0.500 0.500 0.000
0.750 0.250 0.500
0.000 0.000 0.000
```

***

# 2
## TiSn3Rh (PBE-GGA)

Data for a geometry-optimized TiSn3Rh structure.

```
TiSn3Rh
1.0
-0.973 3.593 -3.450
-4.438 -2.222 -1.062
-2.262 2.813 3.567
Sn Ti Rh
3 1 1
Direct
0.000 0.500 0.000
0.000 0.000 0.500
0.500 0.000 0.000
0.500 0.500 0.500
0.000 0.000 0.000
```

Energy relative to the lowest polymorph listed for this composition ... 0.000 eV/atom

***

# 3
## KNaHgPd (PBE-GGA)

Data for a geometry-optimized KNaHgPd structure.

```
KNaHgPd
1.0
5.202 0.000 0.000
2.601 4.505 0.000
2.601 1.502 4.248
Na K Hg Pd
1 1 1 1
Direct
0.250 0.250 0.250
0.500 0.500 0.500
0.750 0.750 0.750
0.000 0.000 0.000
```

Energy relative to the lowest polymorph listed for this composition ... 0.113 eV/atom

***

# 4
## LaCrSe3 (PBE-GGA)

Data for a geometry-optimized LaCrSe3 structure.

```
LaCrSe3
1.0
-1.694 -1.890 -3.104
3.053 -7.166 2.696
-11.414 -2.050 7.478
Se Cr La
12 4 4
Direct
0.250 0.489 0.106
0.750 0.658 0.495
0.250 0.191 0.787
0.750 0.309 0.287
0.250 0.342 0.505
0.750 0.511 0.894
0.750 0.809 0.213
0.750 0.011 0.606
0.250 0.842 0.995
0.750 0.158 0.005
0.250 0.691 0.713
0.250 0.989 0.394
0.250 0.837 0.551
0.750 0.163 0.449
0.750 0.663 0.051
0.250 0.337 0.949
0.250 0.593 0.328
0.250 0.093 0.172
0.750 0.907 0.828
0.750 0.407 0.672
```

E_form (uncorrected) ... -1295 meV per atom

***

Energy
In order: -36.0, -24.9, -8.1, -125.9
Unit: eV per cell
M_tot
In order: 2.00, 0.00, 0.00, 12.00
Unit: μB/cell